(1)
# Tm2PuTl3 PBE-GGA relaxed
# - crystal system = tetragonal
# - uncorrected energy (eV per atom) = -5.255
# - space group = P4/mmm, No. 123
# - formation energy (eV per atom) = -0.192
# - magnetic moment (μB/f.u.) = 5.39
data_Tm2PuTl3
_chemical_formula_sum 'Tm2 Pu1 Tl3'
_space_group_name_H-M_alt 'P 1'
_space_group_IT_number 1
_cell_length_a 3.4463
_cell_length_b 3.4463
_cell_length_c 13.4453
_cell_angle_alpha 90.00
_cell_angle_beta 90.00
_cell_angle_gamma 90.00
loop_
_space_group_symop_operation_xyz
'x,y,z'
loop_
_atom_site_label
_atom_site_type_symbol
_atom_site_fract_x
_atom_site_fract_y
_atom_site_fract_z
Tm1 Tm 0.0000 0.0000 0.1619
Tm2 Tm 0.0000 0.0000 0.8381
Pu1 Pu 0.0000 0.0000 0.5000
Tl1 Tl 0.5000 0.5000 0.0000
Tl2 Tl 0.5000 0.5000 0.3264
Tl3 Tl 0.5000 0.5000 0.6736

---

(2)
# Tm5PuTl3 PBE-GGA relaxed
# - crystal system = hexagonal
# - uncorrected energy (eV per atom) = -5.088
# - space group = P6_3/mcm, No. 193
# - formation energy (eV per atom) = -0.223
# - magnetic moment (μB/f.u.) = 6.81
data_Tm5PuTl3
_chemical_formula_sum 'Tm10 Pu2 Tl6'
_space_group_name_H-M_alt 'P 1'
_space_group_IT_number 1
_cell_length_a 9.2284
_cell_length_b 9.2284
_cell_length_c 6.6017
_cell_angle_alpha 90.00
_cell_angle_beta 90.00
_cell_angle_gamma 120.00
loop_
_space_group_symop_operation_xyz
'x,y,z'
loop_
_atom_site_label
_atom_site_type_symbol
_atom_site_fract_x
_atom_site_fract_y
_atom_site_fract_z
Tm1 Tm 0.0000 0.3159 0.2500
Tm2 Tm 0.0000 0.6841 0.7500
Tm3 Tm 0.3159 0.0000 0.2500
Tm4 Tm 0.3159 0.3159 0.7500
Tm5 Tm 0.3333 0.6667 0.0000
Tm6 Tm 0.3333 0.6667 0.5000
Tm7 Tm 0.6667 0.3333 0.0000
Tm8 Tm 0.6667 0.3333 0.5000
Tm9 Tm 0.6841 0.0000 0.7500
Tm10 Tm 0.6841 0.6841 0.2500
Pu1 Pu 0.0000 0.0000 0.0000
Pu2 Pu 0.0000 0.0000 0.5000
Tl1 Tl 0.0000 0.3499 0.7500
Tl2 Tl 0.0000 0.6501 0.2500
Tl3 Tl 0.3499 0.0000 0.7500
Tl4 Tl 0.3499 0.3499 0.2500
Tl5 Tl 0.6501 0.0000 0.2500
Tl6 Tl 0.6501 0.6501 0.7500

---

(3)
# TmPuTl2 PBE-GGA relaxed
# - crystal system = cubic
# - uncorrected energy (eV per atom) = -6.014
# - space group = Fm-3m, No. 225
# - E above lowest polymorph (eV/atom) = 0.024
# - formation energy (eV per atom) = -0.130
# - magnetic moment (μB/f.u.) = 6.19
data_TmPuTl2
_chemical_formula_sum 'Tm1 Pu1 Tl2'
_space_group_name_H-M_alt 'P 1'
_space_group_IT_number 1
_cell_length_a 5.3694
_cell_length_b 5.3694
_cell_length_c 5.3694
_cell_angle_alpha 60.00
_cell_angle_beta 60.00
_cell_angle_gamma 60.00
loop_
_space_group_symop_operation_xyz
'x,y,z'
loop_
_atom_site_label
_atom_site_type_symbol
_atom_site_fract_x
_atom_site_fract_y
_atom_site_fract_z
Tm1 Tm 0.0000 0.0000 0.0000
Pu1 Pu 0.5000 0.5000 0.5000
Tl1 Tl 0.2500 0.2500 0.2500
Tl2 Tl 0.7500 0.7500 0.7500

---

- What is the magnetic moment in the second record?
  6.81 μB/f.u.

---

- The lowest magnetic moment belongs to which entry?
  Tm2PuTl3

---

- Number 3 is which compound?
  TmPuTl2

---

- What is the uncorrected energy in the second record?
  -5.088 eV per atom